# CaMnIr2

Crystalline CaMnIr2 at its relaxed geometry (GGA-PBE, Alexandria via LeMat-Bulk).

For the energy of formation, the calculation gives 0.05 eV/f.u. The density comes out at 11509 kg/m³. The calculation puts the energy above the lowest structure with this stoichiometry at 53 kJ/mol of formula units.

It has space group Cm (No. 8), with a = 10.626 Å, b = 2.903 Å, c = 4.999 Å, α = 90.00°, β = 116.20° and γ = 90.00°. The asymmetric unit holds Ca at (0.000, 0.000, 0.000), Mn at (0.292, 0.500, 0.379), Ir at (0.028, 0.500, 0.511) and Ir at (0.240, 0.000, 0.890).